The following is a DFT calculation (meta-GGA SCAN) of a crystal of TaAgC2 relaxed with PBEsol.

Geometry as extended XYZ:
```
4
Lattice="0.0000 2.7893 2.7893 2.7893 0.0000 2.7893 2.7893 2.7893 0.0000" Properties=species:S:1:pos:R:3 pbc="T T T"
Ta 0.0000 0.0000 0.0000
Ag 2.7893 2.7893 2.7893
C 1.3947 1.3947 1.3947
C 4.1840 4.1840 4.1840
```

V = 43.40 Å³/cell
DFT formation energy = 1498 meV per atom
density of states at the Fermi level = 0.35 states/eV per atom